Crystalline Ca2TcAg3O6 at its relaxed geometry, computed with PBE-GGA.

```
data_Ca2TcAg3O6
_chemical_formula_sum 'Ca2 Tc1 Ag3 O6'
_symmetry_space_group_name_H-M 'P 1'
_symmetry_Int_Tables_number 1
_cell_length_a 5.841
_cell_length_b 5.841
_cell_length_c 6.625
_cell_angle_alpha 81.38
_cell_angle_beta 81.38
_cell_angle_gamma 120.30
loop_
_symmetry_equiv_pos_as_xyz
'x,y,z'
loop_
_atom_site_label
_atom_site_fract_x
_atom_site_fract_y
_atom_site_fract_z
O1 0.655 0.655 0.170
O2 0.770 0.059 0.830
O3 0.230 0.941 0.170
O4 0.345 0.345 0.830
O5 0.941 0.230 0.170
O6 0.059 0.770 0.830
Ag1 0.852 0.148 0.500
Ag2 0.148 0.852 0.500
Ag3 0.500 0.500 0.500
Tc1 0.000 0.000 0.000
Ca1 0.667 0.333 0.000
Ca2 0.333 0.667 0.000
```

Computed properties:
The calculation puts the volume at 15.51 Å³/atom. The energy relative to the elements, uncorrected comes out at -1.480 eV per atom.